The following is a DFT calculation (GGA-PBE) of Co2Hg after structural relaxation.

Unit cell a=4.988 b=4.988 c=4.988 alpha=108.29 beta=108.29 gamma=111.86
Sites, in units of the cell vectors:
Co 0.130 0.630 0.759
Co 0.370 0.130 0.500
Co 0.630 0.870 0.500
Co 0.870 0.370 0.241
Hg 0.750 0.750 0.000
Hg 0.250 0.250 0.000

## Properties
**Symmetry**: I4/mcm
**DOS at the Fermi energy**: 6.0 states/eV/cell
**Final energy**: -4.055 eV per atom
**Formation enthalpy at 0 K**: 783 meV per atom